Record 1
Density functional theory data (SCAN) for InMo at its PBEsol-relaxed geometry.

a = 4.325 Å, b = 4.325 Å, c = 4.325 Å
α = 60.00°, β = 60.00°, γ = 60.00°
Element x y z (fractional)
In1 0.000 0.000 0.000
Mo1 0.750 0.750 0.750

Output
**Energy of formation**: 2.10 eV per atom
**Uncorrected energy**: -32.04 eV/atom
**Excess energy over the best structure of this formula in the dataset**: 1873 meV/atom

Record 2
Density functional theory data (SCAN) for CaMg2Pt at its PBEsol-relaxed geometry.

a = 4.860 Å, b = 4.860 Å, c = 4.860 Å
α = 60.00°, β = 60.00°, γ = 60.00°
Element x y z (fractional)
Ca1 0.000 0.000 0.000
Mg1 0.500 0.500 0.500
Mg2 0.750 0.750 0.750
Pt1 0.250 0.250 0.250

Output
**Energy of formation**: -0.53 eV per atom
**Uncorrected energy**: -22.98 eV/atom

Record 3
Density functional theory data (SCAN) for MgIrRh2 at its PBEsol-relaxed geometry.

a = 4.663 Å, b = 4.663 Å, c = 2.724 Å
α = 90.00°, β = 90.00°, γ = 108.50°
Element x y z (fractional)
Mg1 0.000 0.000 0.000
Ir1 0.500 0.500 0.000
Rh1 0.000 0.500 0.500
Rh2 0.500 0.000 0.500

Output
**Energy of formation**: -0.31 eV per atom
**Uncorrected energy**: -36.21 eV/atom

Record 4
Density functional theory data (SCAN) for ZrIrRu2 at its PBEsol-relaxed geometry.

a = 4.820 Å, b = 4.820 Å, c = 4.820 Å
α = 132.14°, β = 132.14°, γ = 70.01°
Element x y z (fractional)
Zr1 0.000 0.000 0.000
Ir1 0.250 0.750 0.500
Ru1 0.500 0.500 0.000
Ru2 0.750 0.250 0.500

Output
**Energy of formation**: -0.37 eV per atom
**Uncorrected energy**: -43.23 eV/atom
**Excess energy over the best structure of this formula in the dataset**: 0 meV/atom